(1)
A plane-wave DFT calculation with PBE was carried out for a relaxed structure of Y2GaPd4.

Unit cell a=4.639 b=4.639 c=7.935 alpha=107.00 beta=107.00 gamma=90.00
Fractional positions:
Pd 0.000 0.500 0.000
Pd 0.170 0.170 0.341
Pd 0.500 0.000 0.000
Pd 0.830 0.830 0.659
Ga 0.000 0.000 0.000
Y 0.360 0.360 0.720
Y 0.640 0.640 0.280

## Properties
DFT total energy in eV/atom: -5.679
Space group: I4/mmm, No. 139

---

(2)
A plane-wave DFT calculation with PBE was carried out for a relaxed structure of PuZnGaO6.

Unit cell a=5.200 b=5.200 c=9.183 alpha=90.00 beta=90.00 gamma=120.00
Site moments in Bohr magnetons follow the coordinates.
Fractional positions:
Ga 0.333 0.667 0.750  0.00
Ga 0.667 0.333 0.250  0.00
O 0.657 0.001 0.368  -0.07
O 0.344 0.343 0.368  -0.07
O 0.001 0.344 0.632  -0.07
O 0.656 0.999 0.868  -0.07
O 0.001 0.657 0.868  -0.07
O 0.656 0.657 0.632  -0.07
O 0.344 0.001 0.132  -0.07
O 0.343 0.344 0.868  -0.07
O 0.999 0.656 0.368  -0.07
O 0.999 0.343 0.132  -0.07
O 0.657 0.656 0.132  -0.07
O 0.343 0.999 0.632  -0.07
Pu 0.667 0.333 0.750  1.45
Pu 0.333 0.667 0.250  1.45
Zn 0.000 0.000 0.500  -0.01
Zn 0.000 0.000 0.000  -0.01

## Properties
Formation energy from raw total energies in eV per formula unit: -16.3
Space group: P-31c, No. 163